Density functional theory data (PBE-GGA) for a relaxed Rb3ErAg2F9 crystal.

Values from the calculation:
Formation energy (no corrections) ... -2599.9 meV per atom
Space-group type ... P-3m1

abc: 6.3881 6.3881 7.9636
angles: 90.00 90.00 120.00
Positions (direct):
Rb (0.3333, 0.6667, 0.7062)
Rb (0.0000, 0.0000, 0.0000)
Rb (0.6667, 0.3333, 0.2938)
Er (0.0000, 0.0000, 0.5000)
Ag (0.3333, 0.6667, 0.1678)
Ag (0.6667, 0.3333, 0.8322)
F (0.8423, 0.1577, 0.6586)
F (0.8423, 0.6846, 0.6586)
F (0.3154, 0.1577, 0.6586)
F (0.6846, 0.8423, 0.3414)
F (0.1577, 0.3154, 0.3414)
F (0.1577, 0.8423, 0.3414)
F (0.5000, 0.0000, 0.0000)
F (0.0000, 0.5000, 0.0000)
F (0.5000, 0.5000, 0.0000)



Density functional theory data (PBE-GGA) for a relaxed RbErAgF5 crystal.

Values from the calculation:
Formation energy (no corrections) ... -3011.2 meV per atom
Space-group type ... C2/c

abc: 6.6318 6.6318 8.3216
angles: 98.72 98.72 113.81
Positions (direct):
Rb (0.3367, 0.6633, 0.2500)
Rb (0.6633, 0.3367, 0.7500)
Er (0.0000, 0.0000, 0.5000)
Er (0.0000, 0.0000, 0.0000)
Ag (0.6735, 0.3265, 0.2500)
Ag (0.3265, 0.6735, 0.7500)
F (0.0607, 0.9393, 0.2500)
F (0.9393, 0.0607, 0.7500)
F (0.9127, 0.2713, 0.0836)
F (0.0873, 0.7287, 0.9164)
F (0.7287, 0.0873, 0.4164)
F (0.2713, 0.9127, 0.5836)
F (0.7480, 0.6530, 0.4483)
F (0.2520, 0.3470, 0.5517)
F (0.3470, 0.2520, 0.0517)
F (0.6530, 0.7480, 0.9483)



Density functional theory data (PBE-GGA) for a relaxed ErAgRhF6 crystal.

Values from the calculation:
Formation energy (no corrections) ... -2324.5 meV per atom
Space-group type ... P-31c

abc: 5.7177 5.7177 10.4249
angles: 90.00 90.00 120.00
Positions (direct):
Er (0.3333, 0.6667, 0.2500)
Er (0.6667, 0.3333, 0.7500)
Ag (0.0000, 0.0000, 0.0000)
Ag (0.0000, 0.0000, 0.5000)
Rh (0.6667, 0.3333, 0.2500)
Rh (0.3333, 0.6667, 0.7500)
F (0.6454, 0.6447, 0.1388)
F (0.9993, 0.3546, 0.1388)
F (0.3546, 0.9993, 0.6388)
F (0.0007, 0.6454, 0.8612)
F (0.3553, 0.3546, 0.3612)
F (0.9993, 0.6447, 0.3612)
F (0.6447, 0.9993, 0.8612)
F (0.6454, 0.0007, 0.3612)
F (0.0007, 0.3553, 0.6388)
F (0.3553, 0.0007, 0.1388)
F (0.6447, 0.6454, 0.6388)
F (0.3546, 0.3553, 0.8612)



Density functional theory data (PBE-GGA) for a relaxed SrErAgF6 crystal.

Values from the calculation:
Formation energy (no corrections) ... -3340.6 meV per atom
Space-group type ... P-31c

abc: 5.9956 5.9956 10.4689
angles: 90.00 90.00 120.00
Positions (direct):
Sr (0.0000, 0.0000, 0.0000)
Sr (0.0000, 0.0000, 0.5000)
Er (0.6667, 0.3333, 0.2500)
Er (0.3333, 0.6667, 0.7500)
Ag (0.3333, 0.6667, 0.2500)
Ag (0.6667, 0.3333, 0.7500)
F (0.6863, 0.6430, 0.1337)
F (0.9568, 0.3137, 0.1337)
F (0.3137, 0.9568, 0.6337)
F (0.0432, 0.6863, 0.8663)
F (0.3570, 0.3137, 0.3663)
F (0.9568, 0.6430, 0.3663)
F (0.6430, 0.9568, 0.8663)
F (0.6863, 0.0432, 0.3663)
F (0.0432, 0.3570, 0.6337)
F (0.3570, 0.0432, 0.1337)
F (0.6430, 0.6863, 0.6337)
F (0.3137, 0.3570, 0.8663)